## PmSmRh2 (GGA-PBE)

Data for an optimized crystal structure of PmSmRh2.

Its energy above the most stable polymorph in this dataset is 17 meV per atom. The formation energy is -706 meV/atom. The value obtained for the density of states at the Fermi level is 12.8 states/eV/cell.

The structure belongs to space group Fm-3m (No. 225); the cell edges are 7.017, 7.017 and 7.017 Å and the angles 90.00°, 90.00° and 90.00°. The inequivalent atoms are Pm at (0.000, 0.000, 0.000), Sm at (0.000, 0.000, 0.500) and Rh at (0.250, 0.250, 0.250).

=====

## Li3SeI (GGA-PBE)

Data for an optimized crystal structure of Li3SeI.

Its energy above the most stable polymorph in this dataset is 39 meV per atom. The value obtained for the density of states at the Fermi level is 0.0 states/eV/cell. For the uncorrected formation energy, the calculation gives -1150.7 meV/atom.

The structure belongs to space group Pm-3m (No. 221); the cell edges are 4.919, 4.919 and 4.919 Å and the angles 90.00°, 90.00° and 90.00°. The inequivalent atoms are Li at (0.000, 0.000, 0.500), Se at (0.000, 0.000, 0.000) and I at (0.500, 0.500, 0.500).

=====

## Rb2Cd3Te4 (GGA-PBE)

Data for an optimized crystal structure of Rb2Cd3Te4.

For the uncorrected formation energy, the calculation gives -693.6 meV/atom.

The structure belongs to space group C2/c (No. 15); the cell edges are 14.802, 15.610 and 13.196 Å and the angles 90.00°, 116.01° and 90.00°. The inequivalent atoms are Rb at (0.000, 0.000, 0.000), Rb at (0.000, 0.497, 0.250), Rb at (0.246, 0.002, 0.862), Cd at (0.114, 0.238, 0.411), Cd at (0.118, 0.260, 0.957), Cd at (0.149, 0.260, 0.700), Te at (0.000, 0.116, 0.250), Te at (0.000, 0.157, 0.750), Te at (0.020, 0.362, 0.503), Te at (0.250, 0.134, 0.107) and Te at (0.250, 0.143, 0.622).

=====

## Ce2Pm3NdEr6 (GGA-PBE)

Data for an optimized crystal structure of Ce2Pm3NdEr6.

The formation energy is 46 meV/atom. The value obtained for the density of states at the Fermi level is 40.1 states/eV/cell.

The structure belongs to space group C2/m (No. 12); the cell edges are 6.175, 10.695 and 11.695 Å and the angles 90.00°, 100.13° and 90.00°. The inequivalent atoms are Ce at (0.000, 0.167, 0.000), Pm at (0.000, 0.000, 0.500), Pm at (0.000, 0.334, 0.500), Nd at (0.000, 0.500, 0.000), Er at (0.247, 0.000, 0.248) and Er at (0.249, 0.168, 0.752).